# LaBeNiGe2 PBE-GGA relaxed
# ΔE_f: -593 meV per atom
# VASP energy: -0.1958 Ha/atom
# Fermi-level density of states: 1.60 states/eV per cell
# symmetry: I-4m2
data_LaBeNiGe2
_cell_length_a 4.106
_cell_length_b 4.106
_cell_length_c 5.865
_cell_angle_alpha 110.49
_cell_angle_beta 110.49
_cell_angle_gamma 90.00
_space_group_name_H-M_alt 'P 1'
_space_group_IT_number 1
_space_group_name_Hall 'P 1'
loop_
_atom_site_label
_atom_site_fract_x
_atom_site_fract_y
_atom_site_fract_z
La1 0.000 0.000 0.000
Be1 0.250 0.750 0.500
Ni1 0.750 0.250 0.500
Ge1 0.631 0.631 0.261
Ge2 0.369 0.369 0.739